Compound: BiWO3
Source: Alexandria
Functional: PBE with a Hubbard U
Structure: relaxed

```
BiWO3
1.0
-2.610 2.996 0.958
0.883 -0.498 3.960
3.019 2.736 -0.329
O Bi W
3 1 1
direct
0.000 0.500 0.000
0.000 0.000 0.500
0.500 0.000 0.000
0.500 0.500 0.500
0.000 0.000 0.000
```

Computed properties:
N(E_F) (states/eV/cell): 3.13
Total energy (eV/cell): -31.69